[1]
A relaxed structure of Dy5Tm3Cd2. Source: the Alexandria database, functional PBE.

a b c (Å): 10.305 10.305 10.305
angles (deg): 100.42 91.29 142.81
Atoms (fractional coordinates):
Dy: 0.173 0.100 0.274
Dy: 0.250 0.010 0.760
Dy: 0.250 0.250 0.000
Dy: 0.250 0.490 0.240
Dy: 0.327 0.600 0.927
Dy: 0.673 0.400 0.073
Dy: 0.750 0.510 0.760
Dy: 0.750 0.750 0.000
Dy: 0.750 0.990 0.240
Dy: 0.827 0.900 0.726
Tm: 0.212 0.364 0.576
Tm: 0.250 0.750 0.500
Tm: 0.288 0.864 0.151
Tm: 0.712 0.136 0.849
Tm: 0.750 0.250 0.500
Tm: 0.788 0.636 0.424
Cd: 0.133 0.629 0.762
Cd: 0.367 0.129 0.497
Cd: 0.633 0.871 0.503
Cd: 0.867 0.371 0.238

Results
The calculation puts the total magnetic moment at 0.00 μB per atom. The calculation puts the electronic total energy at -0.26620 Ry/atom. As for the density of states at the Fermi level: 1.221 states/eV per atom.


[2]
A relaxed structure of FeTc2H. Source: the Alexandria database, functional PBE.

a b c (Å): 5.803 5.803 5.138
angles (deg): 90.00 90.00 90.00
Atoms (fractional coordinates):
Fe: 0.000 0.000 0.000
Fe: 0.000 0.500 0.250
Fe: 0.500 0.000 0.750
Fe: 0.500 0.500 0.500
Tc: 0.169 0.750 0.625
Tc: 0.250 0.169 0.375
Tc: 0.250 0.331 0.875
Tc: 0.331 0.750 0.125
Tc: 0.669 0.250 0.125
Tc: 0.750 0.669 0.875
Tc: 0.750 0.831 0.375
Tc: 0.831 0.250 0.625
H: 0.000 0.000 0.500
H: 0.000 0.500 0.750
H: 0.500 0.000 0.250
H: 0.500 0.500 0.000

Results
The calculation puts the total magnetic moment at 0.00 μB per atom. The calculation puts the electronic total energy at -0.57543 Ry/atom. As for the density of states at the Fermi level: 1.822 states/eV per atom. The calculation puts the energy relative to the lowest polymorph listed for this composition at 0.0000 eV per atom.


[3]
A relaxed structure of SmTmMgPd. Source: the Alexandria database, functional PBE.

a b c (Å): 7.286 7.286 7.286
angles (deg): 90.00 90.00 90.00
Atoms (fractional coordinates):
Sm: 0.000 0.000 0.000
Sm: 0.000 0.500 0.500
Sm: 0.500 0.000 0.500
Sm: 0.500 0.500 0.000
Tm: 0.000 0.000 0.500
Tm: 0.000 0.500 0.000
Tm: 0.500 0.000 0.000
Tm: 0.500 0.500 0.500
Mg: 0.250 0.250 0.250
Mg: 0.250 0.750 0.750
Mg: 0.750 0.250 0.750
Mg: 0.750 0.750 0.250
Pd: 0.250 0.250 0.750
Pd: 0.250 0.750 0.250
Pd: 0.750 0.250 0.250
Pd: 0.750 0.750 0.750

Results
The calculation puts the total magnetic moment at 0.00 μB per atom. The calculation puts the electronic total energy at -0.32185 Ry/atom. As for the density of states at the Fermi level: 0.720 states/eV per atom.